Record 1
5
Lattice="6.116 0.000 0.000 0.000 6.116 0.000 0.000 0.000 6.116" Properties=species:S:1:pos:R:3 comment="Ca3MgI | Alexandria via LeMat-Bulk | PBE-GGA | relaxed" raw_formation_energy_ev_per_atom=-0.001 space_group="Pm-3m, No. 221" magnetic_moment_mub_per_fu=0.0 pbc="T T T"
Ca 0.000 0.000 3.058
Ca 0.000 3.058 0.000
Ca 3.058 0.000 0.000
Mg 0.000 0.000 0.000
I 3.058 3.058 3.058


Record 2
4
Lattice="3.774 0.000 0.000 -1.887 3.269 0.000 0.000 0.000 11.727" Properties=species:S:1:pos:R:3 comment="BaMn | Alexandria via LeMat-Bulk | PBE-GGA | relaxed" formation_enthalpy_0k_ev_per_atom=1.1056 space_group="P6_3mc, No. 186" magnetic_moment_mub_per_fu=3.6 pbc="T T T"
Ba 0.000 2.179 0.000
Ba 1.887 1.090 5.863
Mn 0.000 2.179 8.412
Mn 1.887 1.090 2.549